## AlOsAu4 (GGA-PBEsol)

Data for a relaxed AlOsAu4 crystal.

- total magnetic moment (μB per formula unit) = 0.002
- energy of formation from the pure elements (meV/atom) = 691
- SG = No. 216
- calculated total energy (eV for the cell shown) = -27.855
- theoretical density (g cm⁻³) = 16.1

Structure (POSCAR):
```
AlOsAu4
1.0
-0.317 4.681 2.417
-1.148 0.241 5.146
3.711 1.436 3.468
Al Au Os
1 4 1
Direct
0.000 0.000 0.000
0.375 0.375 0.375
0.375 0.375 0.875
0.875 0.375 0.375
0.375 0.875 0.375
0.750 0.750 0.750
```